Record 1
Compound: YCd3N
Source: Alexandria via LeMat-Bulk
Functional: PBE
Structure: relaxed

Cell and atoms, written as POSCAR:
```
YCd3N
1.0
6.0031 0.0000 0.0000
0.0000 6.0031 0.0000
0.0000 0.0000 6.0031
Y N Cd
1 1 3
direct
0.0000 0.0000 0.0000
0.5000 0.5000 0.5000
0.0000 0.5000 0.0000
0.0000 0.0000 0.5000
0.5000 0.0000 0.0000
```

Output
Energy relative to the elements, uncorrected: 1879 meV/atom
Energy above the most stable polymorph in this dataset: 1429 meV per atom

Record 2
Compound: Pm3Y5Ho3
Source: Alexandria via LeMat-Bulk
Functional: PBE
Structure: relaxed

Cell and atoms, written as POSCAR:
```
Pm3Y5Ho3
1.0
-5.5447 -0.3002 -0.9136
-0.3968 -8.2124 5.1076
-1.1921 8.5202 4.4354
Pm Y Ho
3 5 3
direct
0.0000 0.4619 0.4619
0.0000 0.5381 0.0000
0.0000 0.0000 0.5381
0.5000 0.3333 0.6667
0.5000 0.6667 0.3333
0.5000 0.2664 0.2664
0.5000 0.0000 0.7336
0.5000 0.7336 0.0000
0.5000 0.6257 0.6257
0.5000 0.0000 0.3743
0.5000 0.3743 0.0000
```

Output
Energy of formation from the pure elements: 0.787 eV/atom
Energy above the most stable polymorph in this dataset: 435 meV per atom

Record 3
Compound: Ac3Cu
Source: Alexandria via LeMat-Bulk
Functional: PBE
Structure: relaxed

Cell and atoms, written as POSCAR:
```
Ac3Cu
1.0
-1.3192 -3.5296 1.2098
4.6599 -2.8693 -3.2899
1.8254 3.5001 5.7293
Ac Cu
3 1
direct
0.3021 0.6806 0.6042
0.5000 0.3915 0.0000
0.6979 0.0764 0.3958
0.0000 0.0181 0.0000
```

Output
Energy of formation from the pure elements: 0.019 eV/atom
Energy above the most stable polymorph in this dataset: 69 meV per atom

Record 4
Compound: Pm3Sm2Pb2
Source: Alexandria via LeMat-Bulk
Functional: PBE
Structure: relaxed

Cell and atoms, written as POSCAR:
```
Pm3Sm2Pb2
1.0
-1.7968 2.9430 0.9810
-4.1545 -0.1835 -7.0592
-2.2634 -5.7724 6.6213
Pm Sm Pb
3 2 2
direct
0.0000 0.5000 0.0000
0.2121 0.7796 0.4242
0.7879 0.2204 0.5758
0.8780 0.7271 0.7559
0.1220 0.2729 0.2441
0.5771 0.8924 0.1542
0.4229 0.1076 0.8458
```

Output
Energy of formation from the pure elements: -0.170 eV/atom

Record 5
Compound: Ca4AgHgPt2
Source: Alexandria via LeMat-Bulk
Functional: PBE
Structure: relaxed

Cell and atoms, written as POSCAR:
```
Ca4AgHgPt2
1.0
-0.6399 -5.0230 -0.6073
3.2671 -2.6574 -2.8763
5.6283 -3.9764 5.5456
Ca Ag Hg Pt
4 1 1 2
direct
0.3765 0.3765 0.8705
0.8737 0.8737 0.3789
0.1263 0.1263 0.6211
0.6235 0.6235 0.1295
0.5000 0.5000 0.5000
0.0000 0.0000 0.0000
0.7507 0.7507 0.7479
0.2493 0.2493 0.2521
```

Output
Energy of formation from the pure elements: -0.648 eV/atom

Record 6
Compound: Pm6Sb2Te3I
Source: Alexandria via LeMat-Bulk
Functional: PBE
Structure: relaxed

Cell and atoms, written as POSCAR:
```
Pm6Sb2Te3I
1.0
-4.0634 1.8986 0.3322
-2.0247 -2.8908 -8.2448
-0.9592 -8.3462 5.5243
Pm Sb Te I
6 2 3 1
direct
0.3205 0.9005 0.6409
0.6686 0.5800 0.3373
0.6795 0.0995 0.3591
0.0064 0.2769 0.0128
0.9936 0.7231 0.9872
0.3314 0.4200 0.6627
0.8325 0.6668 0.6650
0.1675 0.3332 0.3350
0.5000 0.5000 0.0000
0.8415 0.1646 0.6830
0.1585 0.8354 0.3170
0.5000 0.0000 0.0000
```

Output
Energy relative to the elements, uncorrected: -1259 meV/atom